Record 1
A relaxed Sr2AsSe crystal, computed with PBE.

ΔE to the lowest computed polymorph (meV/atom): 0

Lattice parameters (Å, degrees): 4.3353 4.3353 8.1828 74.62 74.62 60.09
Last column: nearest neighbours and their distance in Å.
Fractional coordinates of all 4 atoms:
Sr: 0.9963 0.9963 0.0114  3 Se 3.12, 3 As 3.23
Sr: 0.5037 0.5037 0.4886  3 Se 3.12, 3 As 3.23
As: 0.7500 0.7500 0.7500  6 Sr 3.23
Se: 0.2500 0.2500 0.2500  6 Sr 3.12

Record 2
A relaxed Sr2As2Se crystal, computed with PBE.

ΔE to the lowest computed polymorph (meV/atom): 0

Lattice parameters (Å, degrees): 8.2344 8.2344 4.5403 90.00 90.00 90.00
Last column: nearest neighbours and their distance in Å.
Fractional coordinates of all 10 atoms:
Sr: 0.3139 0.8139 0.0000  2 Se 3.00, 6 As 3.35-3.36
Sr: 0.8139 0.6861 0.0000  2 Se 3.00, 6 As 3.35-3.36
Sr: 0.6861 0.1861 0.0000  2 Se 3.00, 6 As 3.35-3.36
Sr: 0.1861 0.3139 0.0000  2 Se 3.00, 6 As 3.35-3.36
As: 0.1010 0.6010 0.5000  1 As 2.35
As: 0.6010 0.8990 0.5000  1 As 2.35
As: 0.8990 0.3990 0.5000  1 As 2.35
As: 0.3990 0.1010 0.5000  1 As 2.35
Se: 0.0000 0.0000 0.0000  4 Sr 3.00
Se: 0.5000 0.5000 0.0000  4 Sr 3.00

Record 3
A relaxed Sr3AsSe4 crystal, computed with PBE.

E (eV per atom): -4.40

Lattice parameters (Å, degrees): 6.2043 6.2105 13.2596 90.00 90.00 90.00
Last column: nearest neighbours and their distance in Å.
Fractional coordinates of all 16 atoms:
Sr: 0.5621 0.7349 0.0000  6 Se 3.06-3.16
Sr: 0.0710 0.7563 0.2500  6 Se 3.11-3.33
Sr: 0.5710 0.2437 0.2500  6 Se 3.11-3.33
Sr: 0.0621 0.2651 0.5000  6 Se 3.06-3.16
Sr: 0.5710 0.2437 0.7500  6 Se 3.11-3.33
Sr: 0.0710 0.7563 0.7500  6 Se 3.11-3.33
As: 0.0021 0.1779 0.0000  2 Se 2.44
As: 0.5021 0.8221 0.5000  2 Se 2.44
Se: 0.0561 0.7889 0.0000  1 As 2.44
Se: 0.6123 0.2289 0.0000  1 As 2.44
Se: 0.0704 0.2572 0.2691  5 Sr 3.06-3.12
Se: 0.5704 0.7428 0.2309  5 Sr 3.06-3.12
Se: 0.1123 0.7711 0.5000  1 As 2.44
Se: 0.5561 0.2111 0.5000  1 As 2.44
Se: 0.5704 0.7428 0.7691  5 Sr 3.06-3.12
Se: 0.0704 0.2572 0.7309  5 Sr 3.06-3.12

Record 4
A relaxed SrAsSe2 crystal, computed with PBE.

E (eV per atom): -4.03

Lattice parameters (Å, degrees): 6.0133 6.0133 8.6966 69.77 69.77 90.00
Last column: nearest neighbours and their distance in Å.
Fractional coordinates of all 8 atoms:
Sr: 0.0000 0.0000 0.0000  4 Se 3.05
Sr: 0.7500 0.2500 0.5000  4 Se 3.05
As: 0.5000 0.5000 0.0000  4 Se 2.68
As: 0.2500 0.7500 0.5000  4 Se 2.68
Se: 0.5651 0.1250 0.2500  2 As 2.68
Se: 0.1849 0.6250 0.2500  2 As 2.68
Se: 0.3750 0.4349 0.7500  2 As 2.68
Se: 0.8750 0.8151 0.7500  2 As 2.68

Record 5
A relaxed Sr2AsSe crystal, computed with PBE.

ΔE to the lowest computed polymorph (meV/atom): 117

Lattice parameters (Å, degrees): 6.4138 6.4138 4.9884 90.00 90.00 35.74
Last column: nearest neighbours and their distance in Å.
Fractional coordinates of all 4 atoms:
Sr: 0.9974 0.9974 0.1251  1 Se 3.15, 4 As 3.18
Sr: 0.7527 0.7527 0.6249  1 As 3.15, 4 Se 3.18
As: 0.4943 0.4943 0.6251  5 Sr 3.15-3.18
Se: 0.2555 0.2555 0.1249  5 Sr 3.15-3.18

Record 6
A relaxed SrAsSe2 crystal, computed with PBE.

E (eV per atom): -4.08

Lattice parameters (Å, degrees): 6.8359 6.8359 6.8359 37.75 37.75 37.75
Last column: nearest neighbours and their distance in Å.
Fractional coordinates of all 4 atoms:
Sr: 0.2500 0.2500 0.2500  6 Se 3.14
As: 0.7500 0.7500 0.7500  6 Se 2.89
Se: 0.0125 0.0125 0.0125  3 As 2.89, 3 Sr 3.14
Se: 0.4875 0.4875 0.4875  3 As 2.89, 3 Sr 3.14

Number 1 is which compound?
Sr2AsSe